(1)
Er3Tm5Bi: relaxed, PBE.

Cell and atoms, written as POSCAR:
```
Er3Tm5Bi
1.0
6.9925 -4.0176 0.0000
6.9925 4.0176 0.0000
-1.2265 0.0000 10.6418
Er Tm Bi
6 10 2
Direct
0.0000 0.0000 0.0000
0.0000 0.0000 0.5000
0.2738 0.2738 0.4675
0.3325 0.3325 0.7875
0.6675 0.6675 0.2125
0.7262 0.7262 0.5325
0.0684 0.6766 0.2314
0.2406 0.2406 0.0474
0.3234 0.9316 0.7686
0.3353 0.6647 0.0000
0.4941 0.4941 0.3516
0.5059 0.5059 0.6484
0.6647 0.3353 0.0000
0.6766 0.0684 0.2314
0.7594 0.7594 0.9526
0.9316 0.3234 0.7686
0.0988 0.0988 0.2630
0.9012 0.9012 0.7370
```

Results
N(E_F) ... 1.184 states/eV/atom
ΔH_f (0 K) ... 366 meV per atom
Raw total energy ... -4.0703 eV per atom
Total magnetic moment ... 0.00 μB/f.u.

***

(2)
Er2Tm5Bi5: relaxed, PBE.

Cell and atoms, written as POSCAR:
```
Er2Tm5Bi5
1.0
7.2796 -2.1955 0.0000
7.2796 2.1955 0.0000
-4.9898 0.0000 11.5158
Er Tm Bi
2 5 5
Direct
0.0513 0.0513 0.2861
0.9487 0.9487 0.7139
0.3040 0.3040 0.1764
0.3352 0.3352 0.4733
0.5000 0.5000 0.0000
0.6648 0.6648 0.5267
0.6960 0.6960 0.8236
0.0000 0.0000 0.5000
0.1232 0.1232 0.9450
0.3014 0.3014 0.7219
0.6986 0.6986 0.2781
0.8768 0.8768 0.0550
```

Results
N(E_F) ... 0.643 states/eV/atom
ΔH_f (0 K) ... -511 meV per atom
Raw total energy ... -4.7521 eV per atom
Total magnetic moment ... 0.00 μB/f.u.

***

(3)
Er8TmBi2: relaxed, PBE.

Cell and atoms, written as POSCAR:
```
Er8TmBi2
1.0
4.3389 -7.4384 0.0000
4.3389 7.4384 0.0000
-2.3773 0.0000 5.2611
Er Tm Bi
8 1 2
Direct
0.0946 0.3158 0.6116
0.2214 0.7786 0.0000
0.3158 0.0946 0.6116
0.4062 0.4062 0.1980
0.5938 0.5938 0.8020
0.6842 0.9054 0.3884
0.7786 0.2214 0.0000
0.9054 0.6842 0.3884
0.0000 0.0000 0.0000
0.3030 0.6970 0.5000
0.6970 0.3030 0.5000
```

Results
N(E_F) ... 1.209 states/eV/atom
ΔH_f (0 K) ... -129 meV per atom
Raw total energy ... -4.5600 eV per atom
Total magnetic moment ... 0.00 μB/f.u.

***

(4)
ErTm3Bi4: relaxed, PBE.

Cell and atoms, written as POSCAR:
```
ErTm3Bi4
1.0
4.4335 -6.2688 0.0000
4.4335 6.2688 0.0000
0.0000 0.0000 4.4372
Er Tm Bi
1 3 4
Direct
0.0000 0.0000 0.0000
0.0000 0.5000 0.5000
0.5000 0.0000 0.5000
0.5000 0.5000 0.0000
0.2504 0.7496 0.0000
0.2508 0.2508 0.5000
0.7492 0.7492 0.5000
0.7496 0.2504 0.0000
```

Results
N(E_F) ... 0.155 states/eV/atom
Offset from the most stable computed form ... 0.04 eV/f.u.
ΔH_f (0 K) ... -789 meV per atom
Raw total energy ... -4.9770 eV per atom
Total magnetic moment ... 0.00 μB/f.u.

***

(5)
ErTm5Bi2: relaxed, PBE.

Cell and atoms, written as POSCAR:
```
ErTm5Bi2
1.0
-1.8332 5.2389 6.1563
1.8332 -5.2389 6.1563
1.8332 5.2389 -6.1563
Er Tm Bi
1 5 2
Direct
0.0000 0.0000 0.0000
0.1440 0.3641 0.7799
0.4158 0.6359 0.7799
0.5000 0.0000 0.5000
0.5842 0.3641 0.2201
0.8560 0.6359 0.2201
0.2349 0.7349 0.5000
0.7651 0.2651 0.5000
```

Results
N(E_F) ... 1.383 states/eV/atom
ΔH_f (0 K) ... -239 meV per atom
Raw total energy ... -4.5747 eV per atom
Total magnetic moment ... 0.00 μB/f.u.

***

(6)
Er3Tm5Bi8: relaxed, PBE.

Cell and atoms, written as POSCAR:
```
Er3Tm5Bi8
1.0
4.4359 2.5611 7.2447
-4.4359 2.5611 7.2447
0.0000 -5.1222 7.2447
Er Tm Bi
3 5 8
Direct
0.0000 0.5000 0.5000
0.5000 0.0000 0.5000
0.5000 0.5000 0.0000
0.0000 0.0000 0.0000
0.0000 0.0000 0.5000
0.0000 0.5000 0.0000
0.5000 0.0000 0.0000
0.5000 0.5000 0.5000
0.2493 0.7500 0.7500
0.2496 0.2496 0.2496
0.2500 0.2500 0.7507
0.2500 0.7507 0.2500
0.7500 0.2493 0.7500
0.7500 0.7500 0.2493
0.7504 0.7504 0.7504
0.7507 0.2500 0.2500
```

Results
N(E_F) ... 0.210 states/eV/atom
ΔH_f (0 K) ... -792 meV per atom
Raw total energy ... -4.9857 eV per atom
Total magnetic moment ... 0.00 μB/f.u.

***

(7)
ErTm4Bi5: relaxed, PBE.

Cell and atoms, written as POSCAR:
```
ErTm4Bi5
1.0
-2.2166 3.1333 11.0832
2.2166 -3.1333 11.0832
2.2166 3.1333 -11.0832
Er Tm Bi
1 4 5
Direct
0.0000 0.0000 0.0000
0.2002 0.2002 0.0000
0.4000 0.4000 0.0000
0.6000 0.6000 0.0000
0.7998 0.7998 0.0000
0.1004 0.6004 0.5000
0.3001 0.8001 0.5000
0.5000 0.0000 0.5000
0.6999 0.1999 0.5000
0.8996 0.3996 0.5000
```

Results
N(E_F) ... 0.191 states/eV/atom
ΔH_f (0 K) ... -789 meV per atom
Raw total energy ... -4.9743 eV per atom
Total magnetic moment ... 0.00 μB/f.u.

***

(8)
Y2ErTmBi5: relaxed, PBE.

Cell and atoms, written as POSCAR:
```
Y2ErTmBi5
1.0
5.3715 0.0000 0.0000
0.0000 5.3715 0.0000
0.0000 0.0000 11.8143
Y Er Tm Bi
2 1 1 5
Direct
0.0000 0.0000 0.2311
0.0000 0.0000 0.7689
0.5000 0.5000 0.5000
0.5000 0.5000 0.0000
0.0000 0.0000 0.5000
0.0000 0.5000 0.0000
0.5000 0.0000 0.0000
0.5000 0.5000 0.2540
0.5000 0.5000 0.7460
```

Results
N(E_F) ... 0.677 states/eV/atom
ΔH_f (0 K) ... -5 meV per atom
Raw total energy ... -4.6012 eV per atom
Total magnetic moment ... 0.00 μB/f.u.

***

(9)
YEr3Tm2Bi6: relaxed, PBE.

Cell and atoms, written as POSCAR:
```
YEr3Tm2Bi6
1.0
9.6935 -2.2236 0.0000
9.6935 2.2236 0.0000
-2.0313 0.0000 8.6640
Y Er Tm Bi
1 3 2 6
Direct
0.0000 0.0000 0.0000
0.0000 0.0000 0.5000
0.3340 0.3340 0.1674
0.6660 0.6660 0.8326
0.3331 0.3331 0.6671
0.6669 0.6669 0.3329
0.1669 0.1669 0.5822
0.1676 0.1676 0.0841
0.4994 0.4994 0.7477
0.5006 0.5006 0.2523
0.8324 0.8324 0.9159
0.8331 0.8331 0.4178
```

Results
N(E_F) ... 0.167 states/eV/atom
ΔH_f (0 K) ... -817 meV per atom
Raw total energy ... -5.1817 eV per atom
Total magnetic moment ... 0.00 μB/f.u.

***

(10)
Y2Er3TmBi6: relaxed, PBE.

Cell and atoms, written as POSCAR:
```
Y2Er3TmBi6
1.0
9.7110 -2.2276 0.0000
9.7110 2.2276 0.0000
-2.0358 0.0000 8.6794
Y Er Tm Bi
2 3 1 6
Direct
0.1665 0.1665 0.3330
0.8335 0.8335 0.6670
0.1674 0.1674 0.8332
0.5000 0.5000 0.5000
0.8326 0.8326 0.1668
0.5000 0.5000 0.0000
0.0010 0.0010 0.7513
0.3339 0.3339 0.4154
0.3339 0.3339 0.9192
0.6661 0.6661 0.0808
0.6661 0.6661 0.5846
0.9990 0.9990 0.2487
```

Results
N(E_F) ... 0.168 states/eV/atom
ΔH_f (0 K) ... -836 meV per atom
Raw total energy ... -5.3670 eV per atom
Total magnetic moment ... 0.00 μB/f.u.

***

(11)
Y2ErTm3Bi6: relaxed, PBE.

Cell and atoms, written as POSCAR:
```
Y2ErTm3Bi6
1.0
9.7005 -2.2253 0.0000
9.7005 2.2253 0.0000
-2.0318 0.0000 8.6703
Y Er Tm Bi
2 1 3 6
Direct
0.1666 0.1666 0.3336
0.8334 0.8334 0.6664
0.5000 0.5000 0.0000
0.1671 0.1671 0.8338
0.5000 0.5000 0.5000
0.8329 0.8329 0.1662
0.0011 0.0011 0.7499
0.3333 0.3333 0.9191
0.3342 0.3342 0.4142
0.6658 0.6658 0.5858
0.6667 0.6667 0.0809
0.9989 0.9989 0.2501
```

Results
N(E_F) ... 0.168 states/eV/atom
ΔH_f (0 K) ... -826 meV per atom
Raw total energy ... -5.3417 eV per atom
Total magnetic moment ... 0.00 μB/f.u.

***

(12)
Er2UBi3: relaxed, PBE.

Cell and atoms, written as POSCAR:
```
Er2UBi3
1.0
0.0000 6.3122 13.3024
4.4958 0.0000 13.3024
4.4958 6.3122 0.0000
Er U Bi
8 4 12
Direct
0.0418 0.0418 0.2082
0.1261 0.1261 0.6239
0.2082 0.2082 0.0418
0.3761 0.3761 0.8739
0.6239 0.6239 0.1261
0.7918 0.7918 0.9582
0.8739 0.8739 0.3761
0.9582 0.9582 0.7918
0.2915 0.2915 0.4585
0.4585 0.4585 0.2915
0.5415 0.5415 0.7085
0.7085 0.7085 0.5415
0.0440 0.5402 0.2033
0.1213 0.6287 0.6287
0.2033 0.7125 0.0440
0.2875 0.7967 0.4598
0.3713 0.8787 0.8787
0.4598 0.9560 0.2875
0.5402 0.0440 0.7125
0.6287 0.1213 0.1213
0.7125 0.2033 0.5402
0.7967 0.2875 0.9560
0.8787 0.3713 0.3713
0.9560 0.4598 0.7967
```

Results
N(E_F) ... 1.100 states/eV/atom
ΔH_f (0 K) ... -473 meV per atom
Raw total energy ... -5.8155 eV per atom
Total magnetic moment ... 2.74 μB/f.u.

***

(13)
Er5UBi6: relaxed, PBE.

Cell and atoms, written as POSCAR:
```
Er5UBi6
1.0
3.8612 -6.6913 0.0000
3.8612 6.6913 0.0000
-2.5765 0.0000 7.2851
Er U Bi
5 1 6
Direct
0.0000 0.0000 0.0000
0.1670 0.8330 0.5000
0.3344 0.6656 0.0000
0.6656 0.3344 0.0000
0.8330 0.1670 0.5000
0.5000 0.5000 0.5000
0.0802 0.4158 0.2478
0.2476 0.2476 0.7502
0.4158 0.0802 0.2478
0.5842 0.9198 0.7522
0.7524 0.7524 0.2498
0.9198 0.5842 0.7522
```

Results
N(E_F) ... 0.803 states/eV/atom
ΔH_f (0 K) ... -640 meV per atom
Raw total energy ... -5.4226 eV per atom
Total magnetic moment ... 2.69 μB/f.u.

***

(14)
Er4UBi5: relaxed, PBE.

Cell and atoms, written as POSCAR:
```
Er4UBi5
1.0
-4.9850 4.9850 3.1580
4.9850 -4.9850 3.1580
4.9850 4.9850 -3.1580
Er U Bi
4 1 5
Direct
0.1011 0.6998 0.8009
0.3002 0.1011 0.4012
0.6998 0.8989 0.5988
0.8989 0.3002 0.1991
0.5000 0.5000 0.0000
0.0000 0.0000 0.0000
0.1978 0.4001 0.5980
0.4001 0.8022 0.2023
0.5999 0.1978 0.7977
0.8022 0.5999 0.4020
```

Results
N(E_F) ... 0.992 states/eV/atom
ΔH_f (0 K) ... -604 meV per atom
Raw total energy ... -5.4987 eV per atom
Total magnetic moment ... 2.68 μB/f.u.

***

(15)
ErVBi: relaxed, PBE.

Cell and atoms, written as POSCAR:
```
ErVBi
1.0
3.4872 -5.0928 0.0000
3.4872 5.0928 0.0000
0.0000 0.0000 8.2147
Er V Bi
4 4 4
Direct
0.1457 0.3543 0.2500
0.3543 0.1457 0.7500
0.6457 0.8543 0.2500
0.8543 0.6457 0.7500
0.0867 0.9133 0.4475
0.4133 0.5867 0.9475
0.5867 0.4133 0.0525
0.9133 0.0867 0.5525
0.1511 0.8489 0.0960
0.3489 0.6511 0.5960
0.6511 0.3489 0.4040
0.8489 0.1511 0.9040
```

Results
N(E_F) ... 0.689 states/eV/atom
ΔH_f (0 K) ... -84 meV per atom
Raw total energy ... -5.9386 eV per atom
Total magnetic moment ... 0.00 μB/f.u.

***

(16)
YEr2Bi: relaxed, PBE.

Cell and atoms, written as POSCAR:
```
YEr2Bi
1.0
4.8219 0.0000 0.0000
0.0000 4.8219 0.0000
0.0000 0.0000 4.9160
Y Er Bi
1 2 1
Direct
0.0000 0.0000 0.0000
0.0000 0.5000 0.5000
0.5000 0.0000 0.5000
0.5000 0.5000 0.0000
```

Results
N(E_F) ... 1.672 states/eV/atom
Offset from the most stable computed form ... 0.31 eV/f.u.
ΔH_f (0 K) ... -310 meV per atom
Raw total energy ... -5.1778 eV per atom
Total magnetic moment ... 0.06 μB/f.u.

***

(17)
Y5ErBi4: relaxed, PBE.

Cell and atoms, written as POSCAR:
```
Y5ErBi4
1.0
9.4751 -2.1970 0.0000
9.4751 2.1970 0.0000
-2.3535 0.0000 8.1732
Y Er Bi
5 1 4
Direct
0.0000 0.0000 0.0000
0.3177 0.3177 0.1483
0.3370 0.3370 0.6890
0.6630 0.6630 0.3110
0.6823 0.6823 0.8517
0.0000 0.0000 0.5000
0.1684 0.1684 0.5801
0.4897 0.4897 0.2421
0.5103 0.5103 0.7579
0.8316 0.8316 0.4199
```

Results
N(E_F) ... 0.665 states/eV/atom
ΔH_f (0 K) ... -507 meV per atom
Raw total energy ... -5.7481 eV per atom
Total magnetic moment ... 0.00 μB/f.u.

***

(18)
YEr3Bi2: relaxed, PBE.

Cell and atoms, written as POSCAR:
```
YEr3Bi2
1.0
9.2337 -2.1485 0.0000
9.2337 2.1485 0.0000
-3.9754 0.0000 9.1366
Y Er Bi
2 6 4
Direct
0.1101 0.1101 0.1090
0.8899 0.8899 0.8910
0.0561 0.0561 0.6695
0.3117 0.3117 0.1092
0.3611 0.3611 0.5205
0.6389 0.6389 0.4795
0.6883 0.6883 0.8908
0.9439 0.9439 0.3305
0.2517 0.2517 0.7160
0.4915 0.4915 0.1582
0.5085 0.5085 0.8418
0.7483 0.7483 0.2840
```

Results
N(E_F) ... 0.996 states/eV/atom
Offset from the most stable computed form ... 0.59 eV/f.u.
ΔH_f (0 K) ... -469 meV per atom
Raw total energy ... -5.1215 eV per atom
Total magnetic moment ... 0.00 μB/f.u.

***

(19)
YEr3Bi3: relaxed, PBE.

Cell and atoms, written as POSCAR:
```
YEr3Bi3
1.0
4.5242 2.6120 6.2584
-4.5242 2.6120 6.2584
0.0000 -5.2241 6.2584
Y Er Bi
2 6 6
Direct
0.1663 0.1663 0.1663
0.8337 0.8337 0.8337
0.1660 0.4187 0.6731
0.3269 0.8340 0.5813
0.4187 0.6731 0.1660
0.5813 0.3269 0.8340
0.6731 0.1660 0.4187
0.8340 0.5813 0.3269
0.0221 0.8048 0.4159
0.1952 0.5841 0.9779
0.4159 0.0221 0.8048
0.5841 0.9779 0.1952
0.8048 0.4159 0.0221
0.9779 0.1952 0.5841
```

Results
N(E_F) ... 0.816 states/eV/atom
Offset from the most stable computed form ... 0.47 eV/f.u.
ΔH_f (0 K) ... -629 meV per atom
Raw total energy ... -5.1712 eV per atom
Total magnetic moment ... 0.00 μB/f.u.

***

(20)
YEr2Bi: relaxed, PBE.

Cell and atoms, written as POSCAR:
```
YEr2Bi
1.0
4.1173 0.0000 0.0000
0.0000 4.1173 0.0000
0.0000 0.0000 7.0041
Y Er Bi
1 2 1
Direct
0.0000 0.0000 0.0000
0.5000 0.5000 0.2629
0.5000 0.5000 0.7371
0.0000 0.0000 0.5000
```

Results
N(E_F) ... 1.513 states/eV/atom
Offset from the most stable computed form ... 0.22 eV/f.u.
ΔH_f (0 K) ... -331 meV per atom
Raw total energy ... -5.1986 eV per atom
Total magnetic moment ... 0.00 μB/f.u.

***

(21)
YErBi: relaxed, PBE.

Cell and atoms, written as POSCAR:
```
YErBi
1.0
0.0000 3.6476 3.6476
3.6476 0.0000 3.6476
3.6476 3.6476 0.0000
Y Er Bi
1 1 1
Direct
0.0000 0.0000 0.0000
0.5000 0.5000 0.5000
0.2500 0.2500 0.2500
```

Results
N(E_F) ... 1.285 states/eV/atom
ΔH_f (0 K) ... -269 meV per atom
Raw total energy ... -5.2379 eV per atom
Total magnetic moment ... 0.46 μB/f.u.